## i
Here is a relaxed structure of NaAgS2Cl from Alexandria. Energies are from PBE-GGA.

a = 5.158 Å, b = 5.158 Å, c = 5.044 Å
α = 90.00°, β = 90.00°, γ = 90.00°
Space group P4/mmm (No. 123)
One atom of each set of equivalent atoms:
Na (0.000, 0.000, 0.000)
Ag (0.500, 0.500, 0.500)
S (0.000, 0.500, 0.000)
Cl (0.000, 0.000, 0.500)

Properties
As for the magnetization: 3.0 μB/cell.

---

## ii
Here is a relaxed structure of NaAgS2Cl from Alexandria. Energies are from PBE-GGA.

a = 4.831 Å, b = 4.831 Å, c = 5.347 Å
α = 90.00°, β = 90.00°, γ = 90.00°
Space group P4/mmm (No. 123)
One atom of each set of equivalent atoms:
Na (0.000, 0.000, 0.000)
Ag (0.500, 0.500, 0.500)
S (0.000, 0.500, 0.500)
Cl (0.500, 0.500, 0.000)

Properties
As for the magnetization: 0.9 μB/cell.

---

ii takes first place; second place is 543 meV/atom up.

---

## i
Here is a relaxed structure of NaAgSCl2 from Alexandria. Energies are from PBE-GGA.

a = 5.229 Å, b = 5.229 Å, c = 4.807 Å
α = 90.00°, β = 90.00°, γ = 90.00°
Space group P4/mmm (No. 123)
One atom of each set of equivalent atoms:
Na (0.000, 0.000, 0.000)
Ag (0.500, 0.500, 0.500)
S (0.500, 0.500, 0.000)
Cl (0.000, 0.500, 0.500)

Properties
As for the magnetization: 1.2 μB/cell.

---

## ii
Here is a relaxed structure of NaAgSCl2 from Alexandria. Energies are from PBE-GGA.

a = 5.165 Å, b = 5.165 Å, c = 5.126 Å
α = 90.00°, β = 90.00°, γ = 90.00°
Space group P4/mmm (No. 123)
One atom of each set of equivalent atoms:
Na (0.000, 0.000, 0.000)
Ag (0.500, 0.500, 0.500)
S (0.000, 0.000, 0.500)
Cl (0.000, 0.500, 0.000)

Properties
As for the magnetization: 2.0 μB/cell.

---

i takes first place; second place is 460 meV/atom up.

---

## i
Here is a relaxed structure of Na2AgSbCl6 from Alexandria. Energies are from PBE-GGA.

a = 7.0203 Å, b = 7.0203 Å, c = 18.8091 Å
α = 90.00°, β = 90.00°, γ = 120.00°
Space group R3 (No. 146, hexagonal axes)
One atom of each set of equivalent atoms:
Na (0.0000, 0.0000, 0.0000)
Na (0.0000, 0.0000, 0.4914)
Ag (0.0000, 0.0000, 0.2920)
Sb (0.0000, 0.0000, 0.8006)
Cl (0.0099, 0.3730, 0.0583)
Cl (0.0135, 0.7081, 0.8900)

Properties
As for the magnetization: 0.0 μB/cell.

---

## ii
Here is a relaxed structure of Na2AgSbCl6 from Alexandria. Energies are from PBE-GGA.

a = 10.627 Å, b = 10.627 Å, c = 10.627 Å
α = 90.00°, β = 90.00°, γ = 90.00°
Space group Fm-3m (No. 225)
One atom of each set of equivalent atoms:
Na (0.250, 0.250, 0.250)
Ag (0.000, 0.000, 0.000)
Sb (0.000, 0.000, 0.500)
Cl (0.000, 0.000, 0.251)

Properties
As for the magnetization: 0.0 μB/cell.

---

i takes first place; second place is 141 meV/atom up.

---

## i
Here is a relaxed structure of NbAgCl2 from Alexandria. Energies are from PBE-GGA.

a = 3.1233 Å, b = 3.1233 Å, c = 33.4261 Å
α = 90.00°, β = 90.00°, γ = 120.00°
Space group R-3m (No. 166, hexagonal axes)
One atom of each set of equivalent atoms:
Nb (0.0000, 0.0000, 0.0000)
Ag (0.0000, 0.0000, 0.5000)
Cl (0.0000, 0.0000, 0.3871)

Properties
As for the magnetization: 0.0 μB/cell.

---

## ii
Here is a relaxed structure of NbAgCl2 from Alexandria. Energies are from PBE-GGA.

a = 3.2563 Å, b = 3.2563 Å, c = 26.4940 Å
α = 90.00°, β = 90.00°, γ = 120.00°
Space group R-3m (No. 166, hexagonal axes)
One atom of each set of equivalent atoms:
Nb (0.0000, 0.0000, 0.0000)
Ag (0.0000, 0.0000, 0.5000)
Cl (0.0000, 0.0000, 0.0911)

Properties
As for the magnetization: 0.0 μB/cell.

---

i takes first place; second place is 481 meV/atom up.

---

## i
Here is a relaxed structure of Nb3AgCl from Alexandria. Energies are from PBE-GGA.

a = 5.008 Å, b = 5.008 Å, c = 5.008 Å
α = 90.00°, β = 90.00°, γ = 90.00°
Space group Pm-3m (No. 221)
One atom of each set of equivalent atoms:
Nb (0.000, 0.000, 0.500)
Ag (0.000, 0.000, 0.000)
Cl (0.500, 0.500, 0.500)

Properties
As for the magnetization: 0.0 μB/cell.

---

## ii
Here is a relaxed structure of Nb3AgCl from Alexandria. Energies are from PBE-GGA.

a = 4.575 Å, b = 4.575 Å, c = 4.575 Å
α = 90.00°, β = 90.00°, γ = 90.00°
Space group Pm-3m (No. 221)
One atom of each set of equivalent atoms:
Nb (0.000, 0.000, 0.500)
Ag (0.500, 0.500, 0.500)
Cl (0.000, 0.000, 0.000)

Properties
As for the magnetization: 0.0 μB/cell.

---

ii takes first place; second place is 1185 meV/atom up.

---

## i
Here is a relaxed structure of NbAg2Cl from Alexandria. Energies are from PBE-GGA.

a = 6.833 Å, b = 6.833 Å, c = 6.833 Å
α = 90.00°, β = 90.00°, γ = 90.00°
Space group Fm-3m (No. 225)
One atom of each set of equivalent atoms:
Nb (0.000, 0.000, 0.000)
Ag (0.250, 0.250, 0.250)
Cl (0.000, 0.000, 0.500)

Properties
As for the magnetization: 7.2 μB/cell.

---

## ii
Here is a relaxed structure of NbAg2Cl from Alexandria. Energies are from PBE-GGA.

a = 7.888 Å, b = 7.888 Å, c = 5.256 Å
α = 90.00°, β = 90.00°, γ = 90.00°
Space group I-42d (No. 122)
One atom of each set of equivalent atoms:
Nb (0.000, 0.000, 0.000)
Ag (0.242, 0.750, 0.625)
Cl (0.000, 0.000, 0.500)

Properties
As for the magnetization: 7.8 μB/cell.

---

ii takes first place; second place is 314 meV/atom up.

---

## i
Here is a relaxed structure of NbAgP2Cl from Alexandria. Energies are from PBE-GGA.

a = 4.746 Å, b = 4.746 Å, c = 4.731 Å
α = 90.00°, β = 90.00°, γ = 90.00°
Space group P4/mmm (No. 123)
One atom of each set of equivalent atoms:
Nb (0.000, 0.000, 0.000)
Ag (0.500, 0.500, 0.500)
P (0.000, 0.500, 0.500)
Cl (0.500, 0.500, 0.000)

Properties
As for the magnetization: 0.0 μB/cell.

---

## ii
Here is a relaxed structure of NbAgP2Cl from Alexandria. Energies are from PBE-GGA.

a = 4.854 Å, b = 4.854 Å, c = 4.922 Å
α = 90.00°, β = 90.00°, γ = 90.00°
Space group P4/mmm (No. 123)
One atom of each set of equivalent atoms:
Nb (0.000, 0.000, 0.000)
Ag (0.500, 0.500, 0.500)
P (0.000, 0.500, 0.000)
Cl (0.000, 0.000, 0.500)

Properties
As for the magnetization: 0.0 μB/cell.

---

ii takes first place; second place is 1013 meV/atom up.

---

## i
Here is a relaxed structure of NbAgS2Cl from Alexandria. Energies are from PBE-GGA.

a = 4.874 Å, b = 4.874 Å, c = 4.687 Å
α = 90.00°, β = 90.00°, γ = 90.00°
Space group P4/mmm (No. 123)
One atom of each set of equivalent atoms:
Nb (0.000, 0.000, 0.000)
Ag (0.500, 0.500, 0.500)
S (0.000, 0.500, 0.500)
Cl (0.500, 0.500, 0.000)

Properties
As for the magnetization: 2.3 μB/cell.

---

## ii
Here is a relaxed structure of NbAgS2Cl from Alexandria. Energies are from PBE-GGA.

a = 4.836 Å, b = 4.836 Å, c = 4.884 Å
α = 90.00°, β = 90.00°, γ = 90.00°
Space group P4/mmm (No. 123)
One atom of each set of equivalent atoms:
Nb (0.000, 0.000, 0.000)
Ag (0.500, 0.500, 0.500)
S (0.000, 0.500, 0.000)
Cl (0.000, 0.000, 0.500)

Properties
As for the magnetization: 0.0 μB/cell.

---

ii takes first place; second place is 1048 meV/atom up.

---

## i
Here is a relaxed structure of NdAgCl4 from Alexandria. Energies are from PBE-GGA.

a = 4.793 Å, b = 4.808 Å, c = 6.985 Å
α = 83.11°, β = 82.09°, γ = 89.59°
Space group P1 (No. 1)
One atom of each set of equivalent atoms:
Nd (0.000, 0.000, 0.000)
Ag (0.428, 0.428, 0.467)
Cl (0.046, 0.539, 0.769)
Cl (0.447, 0.954, 0.249)
Cl (0.545, 0.039, 0.771)
Cl (0.948, 0.454, 0.245)

Properties
As for the magnetization: 0.0 μB/cell.

---

## ii
Here is a relaxed structure of NdAgCl4 from Alexandria. Energies are from PBE-GGA.

a = 9.206 Å, b = 9.206 Å, c = 8.383 Å
α = 90.00°, β = 90.00°, γ = 90.00°
Space group I4_1md (No. 109)
One atom of each set of equivalent atoms:
Nd (0.000, 0.000, 0.000)
Ag (0.000, 0.000, 0.459)
Cl (0.000, 0.290, 0.473)
Cl (0.000, 0.303, 0.992)

Properties
As for the magnetization: 0.0 μB/cell.

---

ii takes first place; second place is 28 meV/atom up.

---

## i
Here is a relaxed structure of Nd2AgCl from Alexandria. Energies are from PBE-GGA.

a = 4.3586 Å, b = 4.3586 Å, c = 19.7548 Å
α = 90.00°, β = 90.00°, γ = 120.00°
Space group R-3m (No. 166, hexagonal axes)
One atom of each set of equivalent atoms:
Nd (0.0000, 0.0000, 0.2452)
Ag (0.0000, 0.0000, 0.0000)
Cl (0.0000, 0.0000, 0.5000)

Properties
As for the magnetization: 0.0 μB/cell.

---

## ii
Here is a relaxed structure of Nd2AgCl from Alexandria. Energies are from PBE-GGA.

a = 3.493 Å, b = 3.493 Å, c = 8.310 Å
α = 90.00°, β = 90.00°, γ = 90.00°
Space group P4/mmm (No. 123)
One atom of each set of equivalent atoms:
Nd (0.000, 0.000, 0.242)
Ag (0.500, 0.500, 0.000)
Cl (0.500, 0.500, 0.500)

Properties
As for the magnetization: 0.0 μB/cell.

---

i takes first place; second place is 81 meV/atom up.

---

## i
Here is a relaxed structure of NdAg2Cl6 from Alexandria. Energies are from PBE-GGA.

a = 13.630 Å, b = 11.285 Å, c = 6.790 Å
α = 90.00°, β = 109.20°, γ = 90.00°
Space group C2/c (No. 15)
One atom of each set of equivalent atoms:
Nd (0.000, 0.138, 0.250)
Ag (0.159, 0.446, 0.201)
Cl (0.118, 0.054, 0.642)
Cl (0.125, 0.245, 0.054)
Cl (0.128, 0.364, 0.516)

Properties
As for the magnetization: 0.0 μB/cell.

---

## ii
Here is a relaxed structure of NdAg2Cl6 from Alexandria. Energies are from PBE-GGA.

a = 13.387 Å, b = 13.327 Å, c = 7.084 Å
α = 90.00°, β = 108.55°, γ = 90.00°
Space group C2/c (No. 15)
One atom of each set of equivalent atoms:
Nd (0.000, 0.090, 0.250)
Ag (0.112, 0.404, 0.147)
Cl (0.118, 0.061, 0.644)
Cl (0.118, 0.431, 0.506)
Cl (0.136, 0.224, 0.170)

Properties
As for the magnetization: 0.0 μB/cell.

---

ii takes first place; second place is 34 meV/atom up.

---

## i
Here is a relaxed structure of NiAg3Cl6 from Alexandria. Energies are from PBE-GGA.

a = 11.0853 Å, b = 11.0853 Å, c = 12.7701 Å
α = 90.00°, β = 90.00°, γ = 120.00°
Space group R-3 (No. 148, hexagonal axes)
One atom of each set of equivalent atoms:
Ni (0.0000, 0.0000, 0.0000)
Ni (0.0000, 0.0000, 0.5000)
Ag (0.0444, 0.2796, 0.1994)
Cl (0.0121, 0.1858, 0.3968)
Cl (0.0220, 0.1803, 0.8937)

Properties
As for the magnetization: 5.6 μB/cell.

---

## ii
Here is a relaxed structure of NiAg3Cl6 from Alexandria. Energies are from PBE-GGA.

a = 6.685 Å, b = 6.571 Å, c = 11.860 Å
α = 90.00°, β = 123.97°, γ = 90.00°
Space group P2_1/c (No. 14)
One atom of each set of equivalent atoms:
Ni (0.000, 0.000, 0.000)
Ag (0.263, 0.036, 0.761)
Ag (0.500, 0.000, 0.500)
Cl (0.079, 0.208, 0.425)
Cl (0.256, 0.678, 0.450)
Cl (0.326, 0.077, 0.220)

Properties
As for the magnetization: 1.9 μB/cell.

---

i takes first place; second place is 8 meV/atom up.